Entry 1:
! Mg4NiHg | the Alexandria database | PBE | optimized geometry; values from VASP
! - space group = F-43m (216)
! - crystal system = cubic
! - energy relative to the lowest polymorph listed for this composition (eV per atom) = 0.4599
&SYSTEM
  ibrav = 0, nat = 6, ntyp = 3
/
ATOMIC_SPECIES
Mg 24.30 Mg.upf
Ni 58.69 Ni.upf
Hg 200.59 Hg.upf
CELL_PARAMETERS angstrom
0.000 3.924 3.924
3.924 0.000 3.924
3.924 3.924 0.000
ATOMIC_POSITIONS crystal
Mg 0.375 0.874 0.375
Mg 0.874 0.375 0.375
Mg 0.375 0.375 0.874
Mg 0.375 0.375 0.375
Ni 0.750 0.750 0.750
Hg 0.000 0.000 0.000

***

Entry 2:
! MgNiHg4 | the Alexandria database | PBE | optimized geometry; values from VASP
! - space group = F-43m (216)
! - crystal system = cubic
&SYSTEM
  ibrav = 0, nat = 6, ntyp = 3
/
ATOMIC_SPECIES
Mg 24.30 Mg.upf
Ni 58.69 Ni.upf
Hg 200.59 Hg.upf
CELL_PARAMETERS angstrom
-2.717 -4.668 -1.979
-2.264 -3.790 3.688
-5.711 -0.442 0.525
ATOMIC_POSITIONS crystal
Mg 0.750 0.750 0.750
Ni 0.000 0.000 0.000
Hg 0.876 0.375 0.375
Hg 0.375 0.375 0.876
Hg 0.375 0.876 0.375
Hg 0.375 0.375 0.375

***

Entry 3:
! MgNiHg2 | the Alexandria database | PBE | optimized geometry; values from VASP
! - space group = R-3m (166)
! - crystal system = trigonal
&SYSTEM
  ibrav = 0, nat = 4, ntyp = 3
/
ATOMIC_SPECIES
Hg 200.59 Hg.upf
Mg 24.30 Mg.upf
Ni 58.69 Ni.upf
CELL_PARAMETERS angstrom
9.009 0.062 0.037
8.425 3.192 0.037
8.425 1.573 2.778
ATOMIC_POSITIONS crystal
Hg 0.008 0.008 0.008
Hg 0.492 0.492 0.492
Mg 0.250 0.250 0.250
Ni 0.750 0.750 0.750

***

Entry 4:
! Mg2Ni2Hg | the Alexandria database | PBE | optimized geometry; values from VASP
! - space group = I4/mmm (139)
! - crystal system = tetragonal
! - energy relative to the lowest polymorph listed for this composition (eV per atom) = 0.1478
&SYSTEM
  ibrav = 0, nat = 5, ntyp = 3
/
ATOMIC_SPECIES
Ni 58.69 Ni.upf
Mg 24.30 Mg.upf
Hg 200.59 Hg.upf
CELL_PARAMETERS angstrom
3.347 0.000 0.000
0.000 3.347 0.000
1.674 1.674 7.911
ATOMIC_POSITIONS crystal
Ni 0.750 0.250 0.500
Ni 0.250 0.750 0.500
Mg 0.380 0.380 0.240
Mg 0.620 0.620 0.760
Hg 0.000 0.000 0.000

***

Quick rundown of energy relative to the elements, same order as above: 26.34 41.26 12.42 2.43 kJ/mol of atoms
Quick rundown of magnetization, same order as above: 0.0 0.0 0.0 0.4 μB/f.u.